one) Entry from Alexandria via LeMat-Bulk: a geometry-optimized DyTmGaCo structure (PBE-GGA).

Properties
Crystal system: orthorhombic
Total magnetic moment: 0.00 μB per formula unit
V: 170 Å³/cell

```
data_DyTmGaCo
_chemical_formula_sum 'Dy2 Tm2 Ga2 Co2'
_space_group_name_H-M_alt 'A m m 2'
_space_group_IT_number 38
_cell_length_a 4.224
_cell_length_b 3.851
_cell_length_c 10.446
_cell_angle_alpha 90.00
_cell_angle_beta 90.00
_cell_angle_gamma 90.00
loop_
_space_group_symop_operation_xyz
'x,y,z'
'-x,-y,z'
'-x,y,z'
'x,-y,z'
'x,y+1/2,z+1/2'
'-x,-y+1/2,z+1/2'
'-x,y+1/2,z+1/2'
'x,-y+1/2,z+1/2'
loop_
_atom_site_label
_atom_site_type_symbol
_atom_site_fract_x
_atom_site_fract_y
_atom_site_fract_z
Dy1 Dy 0.000 0.000 0.000
Tm1 Tm 0.500 0.000 0.715
Ga1 Ga 0.500 0.000 0.422
Co1 Co 0.000 0.000 0.291
```


two) Entry from Alexandria via LeMat-Bulk: a geometry-optimized DyTmGaCo structure (PBE-GGA).

Properties
Crystal system: cubic
Total magnetic moment: 0.98 μB per formula unit
V: 329 Å³/cell

```
data_DyTmGaCo
_chemical_formula_sum 'Dy4 Tm4 Ga4 Co4'
_space_group_name_H-M_alt 'F -4 3 m'
_space_group_IT_number 216
_space_group_name_Hall 'F -4 2 3'
_cell_length_a 6.902
_cell_length_b 6.902
_cell_length_c 6.902
_cell_angle_alpha 90.00
_cell_angle_beta 90.00
_cell_angle_gamma 90.00
loop_
_atom_site_label
_atom_site_type_symbol
_atom_site_fract_x
_atom_site_fract_y
_atom_site_fract_z
Dy1 Dy 0.000 0.000 0.000
Tm1 Tm 0.000 0.000 0.500
Ga1 Ga 0.250 0.250 0.250
Co1 Co 0.250 0.250 0.750
```


Relative stability in meV/atom, measured from the most stable structure: one) 0; two) 57


one) Entry from Alexandria via LeMat-Bulk: a geometry-optimized Dy2Co3Ge5 structure (PBE-GGA).

Properties
Crystal system: orthorhombic
Total magnetic moment: 0.00 μB per formula unit
V: 652 Å³/cell

```
data_Dy2Co3Ge5
_chemical_formula_sum 'Dy8 Co12 Ge20'
_space_group_name_H-M_alt 'C m c 21'
_space_group_IT_number 36
_cell_length_a 4.047
_cell_length_b 24.222
_cell_length_c 6.648
_cell_angle_alpha 90.00
_cell_angle_beta 90.00
_cell_angle_gamma 90.00
loop_
_space_group_symop_operation_xyz
'x,y,z'
'-x,-y,z+1/2'
'-x,y,z'
'x,-y,z+1/2'
'x+1/2,y+1/2,z'
'-x+1/2,-y+1/2,z+1/2'
'-x+1/2,y+1/2,z'
'x+1/2,-y+1/2,z+1/2'
loop_
_atom_site_label
_atom_site_type_symbol
_atom_site_fract_x
_atom_site_fract_y
_atom_site_fract_z
Dy1 Dy 0.000 0.024 0.000
Dy2 Dy 0.000 0.326 0.988
Co1 Co 0.000 0.108 0.732
Co2 Co 0.000 0.279 0.499
Co3 Co 0.000 0.447 0.782
Ge1 Ge 0.000 0.095 0.369
Ge2 Ge 0.000 0.205 0.792
Ge3 Ge 0.000 0.212 0.206
Ge4 Ge 0.000 0.380 0.486
Ge5 Ge 0.000 0.450 0.165
```


two) Entry from Alexandria via LeMat-Bulk: a geometry-optimized Dy2Co3Ge5 structure (PBE-GGA).

Properties
Crystal system: monoclinic
Total magnetic moment: 0.59 μB per formula unit
V: 652 Å³/cell

```
data_Dy2Co3Ge5
_chemical_formula_sum 'Dy8 Co12 Ge20'
_space_group_name_H-M_alt 'C 1 2/c 1'
_space_group_IT_number 15
_cell_length_a 11.040
_cell_length_b 11.809
_cell_length_c 5.733
_cell_angle_alpha 90.00
_cell_angle_beta 119.22
_cell_angle_gamma 90.00
loop_
_space_group_symop_operation_xyz
'x,y,z'
'-x,-y,-z'
'-x,y,-z+1/2'
'x,-y,z+1/2'
'x+1/2,y+1/2,z'
'-x+1/2,-y+1/2,-z'
'-x+1/2,y+1/2,-z+1/2'
'x+1/2,-y+1/2,z+1/2'
loop_
_atom_site_label
_atom_site_type_symbol
_atom_site_fract_x
_atom_site_fract_y
_atom_site_fract_z
Dy1 Dy 0.233 0.139 0.233
Co1 Co 0.000 0.495 0.750
Co2 Co 0.098 0.140 0.622
Ge1 Ge 0.000 0.010 0.250
Ge2 Ge 0.000 0.271 0.250
Ge3 Ge 0.000 0.285 0.750
Ge4 Ge 0.169 0.408 0.174
```


Relative stability in meV/atom, measured from the most stable structure: one) 75; two) 0


one) Entry from Alexandria via LeMat-Bulk: a geometry-optimized DyCo3Ge3 structure (PBE-GGA).

Properties
Crystal system: cubic
Total magnetic moment: 0.00 μB per formula unit
V: 257 Å³/cell

```
data_DyCo3Ge3
_chemical_formula_sum 'Dy2 Co6 Ge6'
_space_group_name_H-M_alt 'P m -3 n'
_space_group_IT_number 223
_space_group_name_Hall '-P 4n 2 3'
_cell_length_a 6.357
_cell_length_b 6.357
_cell_length_c 6.357
_cell_angle_alpha 90.00
_cell_angle_beta 90.00
_cell_angle_gamma 90.00
loop_
_atom_site_label
_atom_site_type_symbol
_atom_site_fract_x
_atom_site_fract_y
_atom_site_fract_z
Dy1 Dy 0.000 0.000 0.000
Co1 Co 0.000 0.250 0.500
Ge1 Ge 0.000 0.500 0.250
```


two) Entry from Alexandria via LeMat-Bulk: a geometry-optimized DyCo3Ge3 structure (PBE-GGA).

Properties
Crystal system: hexagonal
Total magnetic moment: 0.00 μB per formula unit
V: 231 Å³/cell

```
data_DyCo3Ge3
_chemical_formula_sum 'Dy2 Co6 Ge6'
_space_group_name_H-M_alt 'P 63/m'
_space_group_IT_number 176
_space_group_name_Hall '-P 6c'
_cell_length_a 8.1256
_cell_length_b 8.1256
_cell_length_c 4.0386
_cell_angle_alpha 90.00
_cell_angle_beta 90.00
_cell_angle_gamma 120.00
loop_
_atom_site_label
_atom_site_type_symbol
_atom_site_fract_x
_atom_site_fract_y
_atom_site_fract_z
Dy1 Dy 0.3333 0.6667 0.2500
Co1 Co 0.0620 0.2060 0.2500
Ge1 Ge 0.1022 0.3799 0.7500
```


Relative stability in meV/atom, measured from the most stable structure: one) 356; two) 0


one) Entry from Alexandria via LeMat-Bulk: a geometry-optimized DyCo2H8 structure (PBE-GGA).

Properties
Crystal system: monoclinic
Total magnetic moment: 0.00 μB per formula unit
V: 138 Å³/cell

```
data_DyCo2H8
_chemical_formula_sum 'Dy2 Co4 H16'
_space_group_name_H-M_alt 'C 1 2/m 1'
_space_group_IT_number 12
_cell_length_a 4.884
_cell_length_b 7.793
_cell_length_c 3.632
_cell_angle_alpha 90.00
_cell_angle_beta 91.35
_cell_angle_gamma 90.00
loop_
_space_group_symop_operation_xyz
'x,y,z'
'-x,-y,-z'
'-x,y,-z'
'x,-y,z'
'x+1/2,y+1/2,z'
'-x+1/2,-y+1/2,-z'
'-x+1/2,y+1/2,-z'
'x+1/2,-y+1/2,z'
loop_
_atom_site_label
_atom_site_type_symbol
_atom_site_fract_x
_atom_site_fract_y
_atom_site_fract_z
Dy1 Dy 0.000 0.000 0.000
Co1 Co 0.000 0.325 0.500
H1 H 0.000 0.304 0.000
H2 H 0.019 0.500 0.744
H3 H 0.175 0.143 0.509
```


two) Entry from Alexandria via LeMat-Bulk: a geometry-optimized DyCo2H8 structure (PBE-GGA).

Properties
Crystal system: tetragonal
Total magnetic moment: 0.73 μB per formula unit
V: 77 Å³/cell

```
data_DyCo2H8
_chemical_formula_sum 'Dy1 Co2 H8'
_space_group_name_H-M_alt 'P 4/m m m'
_space_group_IT_number 123
_space_group_name_Hall '-P 4 2'
_cell_length_a 4.048
_cell_length_b 4.048
_cell_length_c 4.726
_cell_angle_alpha 90.00
_cell_angle_beta 90.00
_cell_angle_gamma 90.00
loop_
_atom_site_label
_atom_site_type_symbol
_atom_site_fract_x
_atom_site_fract_y
_atom_site_fract_z
Dy1 Dy 0.000 0.000 0.000
Co1 Co 0.000 0.500 0.500
H1 H 0.283 0.283 0.316
```


Relative stability in meV/atom, measured from the most stable structure: one) 0; two) 54


one) Entry from Alexandria via LeMat-Bulk: a geometry-optimized Dy2CoH structure (PBE-GGA).

Properties
Crystal system: tetragonal
Total magnetic moment: 0.38 μB per formula unit
V: 70 Å³/cell

```
data_Dy2CoH
_chemical_formula_sum 'Dy2 Co1 H1'
_space_group_name_H-M_alt 'P 4/m m m'
_space_group_IT_number 123
_space_group_name_Hall '-P 4 2'
_cell_length_a 3.180
_cell_length_b 3.180
_cell_length_c 6.897
_cell_angle_alpha 90.00
_cell_angle_beta 90.00
_cell_angle_gamma 90.00
loop_
_atom_site_label
_atom_site_type_symbol
_atom_site_fract_x
_atom_site_fract_y
_atom_site_fract_z
Dy1 Dy 0.000 0.000 0.247
Co1 Co 0.500 0.500 0.000
H1 H 0.500 0.500 0.500
```


two) Entry from Alexandria via LeMat-Bulk: a geometry-optimized Dy2CoH structure (PBE-GGA).

Properties
Crystal system: trigonal
Total magnetic moment: 0.00 μB per formula unit
V: 218 Å³/cell

```
data_Dy2CoH
_chemical_formula_sum 'Dy6 Co3 H3'
_space_group_name_H-M_alt 'R -3 m'
_space_group_IT_number 166
_space_group_name_Hall '-R 3 2"'
_cell_length_a 3.7449
_cell_length_b 3.7449
_cell_length_c 17.9697
_cell_angle_alpha 90.00
_cell_angle_beta 90.00
_cell_angle_gamma 120.00
loop_
_atom_site_label
_atom_site_type_symbol
_atom_site_fract_x
_atom_site_fract_y
_atom_site_fract_z
Dy1 Dy 0.0000 0.0000 0.2465
Co1 Co 0.0000 0.0000 0.0000
H1 H 0.0000 0.0000 0.5000
```


three) Entry from Alexandria via LeMat-Bulk: a geometry-optimized Dy2CoH structure (PBE-GGA).

Properties
Crystal system: trigonal
Total magnetic moment: 0.00 μB per formula unit
V: 224 Å³/cell

```
data_Dy2CoH
_chemical_formula_sum 'Dy6 Co3 H3'
_space_group_name_H-M_alt 'R 3 m'
_space_group_IT_number 160
_space_group_name_Hall 'R 3 -2"'
_cell_length_a 3.5845
_cell_length_b 3.5845
_cell_length_c 20.1095
_cell_angle_alpha 90.00
_cell_angle_beta 90.00
_cell_angle_gamma 120.00
loop_
_atom_site_label
_atom_site_type_symbol
_atom_site_fract_x
_atom_site_fract_y
_atom_site_fract_z
Dy1 Dy 0.0000 0.0000 0.0000
Dy2 Dy 0.0000 0.0000 0.1697
Co1 Co 0.0000 0.0000 0.5847
H1 H 0.0000 0.0000 0.4139
```


Relative stability in meV/atom, measured from the most stable structure: one) 172; two) 0; three) 98